Record 1
DFT (GGA-PBEsol) results for K2SrP after structural relaxation.

a b c (Å): 4.698 4.698 5.682
angles (deg): 90.00 90.00 90.00
Atoms (fractional coordinates):
1 K 0.000 0.500 0.000
2 K 0.500 0.000 0.000
3 Sr 0.000 0.000 0.500
4 P 0.500 0.500 0.500

Results
SG: P4/mmm (123)
Raw total energy, eV/cell: -10.58
Energy of formation from the pure elements, kJ per mole of atoms: -16.6
Magnetic moment, μB per formula unit: 0.71

=====

Record 2
DFT (GGA-PBEsol) results for YTe after structural relaxation.

a b c (Å): 4.205 4.205 6.294
angles (deg): 90.00 90.00 90.00
Atoms (fractional coordinates):
1 Y 0.250 0.250 0.192
2 Y 0.750 0.750 0.808
3 Te 0.250 0.250 0.706
4 Te 0.750 0.750 0.294

Results
SG: P4/nmm (129)
Raw total energy, eV/cell: -26.24
Magnetic moment, μB per formula unit: 0.00

=====

Record 3
DFT (GGA-PBEsol) results for Ta3BeSe after structural relaxation.

a b c (Å): 4.395 4.395 4.395
angles (deg): 90.00 90.00 90.00
Atoms (fractional coordinates):
1 Ta 0.000 0.000 0.500
2 Ta 0.000 0.500 0.000
3 Ta 0.500 0.000 0.000
4 Be 0.000 0.000 0.000
5 Se 0.500 0.500 0.500

Results
SG: Pm-3m (221)
Raw total energy, eV/cell: -41.56
Magnetic moment, μB per formula unit: 0.00

=====

Record 4
DFT (GGA-PBEsol) results for Tl2FeMo after structural relaxation.

a b c (Å): 5.460 5.460 2.916
angles (deg): 102.24 102.24 113.79
Atoms (fractional coordinates):
1 Tl 0.000 0.500 0.000
2 Tl 0.500 0.000 0.000
3 Fe 0.000 0.000 0.500
4 Mo 0.500 0.500 0.500

Results
SG: C2/m (12)
Raw total energy, eV/cell: -22.77
Energy of formation from the pure elements, kJ per mole of atoms: 77.7
Magnetic moment, μB per formula unit: 2.63
E above lowest polymorph, meV/atom: 147.7

=====

Record 5
DFT (GGA-PBEsol) results for LiPtAu after structural relaxation.

a b c (Å): 7.273 7.036 2.708
angles (deg): 84.08 74.19 21.73
Atoms (fractional coordinates):
1 Li 0.000 0.000 0.000
2 Pt 0.349 0.349 0.651
3 Au 0.661 0.661 0.339

Results
SG: Fmm2 (42)
Raw total energy, eV/cell: -13.79
Energy of formation from the pure elements, kJ per mole of atoms: -30.2
Magnetic moment, μB per formula unit: 0.00

=====

Record 6
DFT (GGA-PBEsol) results for TlCdBi2S after structural relaxation.

a b c (Å): 5.800 5.800 4.966
angles (deg): 90.00 90.00 90.00
Atoms (fractional coordinates):
1 Tl 0.000 0.000 0.000
2 Cd 0.500 0.500 0.500
3 Bi 0.000 0.500 0.000
4 Bi 0.500 0.000 0.000
5 S 0.000 0.000 0.500

Results
SG: P4/mmm (123)
Raw total energy, eV/cell: -13.04
Magnetic moment, μB per formula unit: 0.00

=====

Record 7
DFT (GGA-PBEsol) results for Li2Cu2P4O13 after structural relaxation.

a b c (Å): 4.677 8.345 11.646
angles (deg): 90.00 95.52 90.00
Atoms (fractional coordinates):
1 Li 0.007 0.061 0.384
2 Li 0.007 0.439 0.384
3 Li 0.993 0.561 0.616
4 Li 0.993 0.939 0.616
5 Cu 0.026 0.021 0.127
6 Cu 0.026 0.479 0.127
7 Cu 0.974 0.521 0.873
8 Cu 0.974 0.979 0.873
9 P 0.279 0.250 0.745
10 P 0.377 0.750 0.475
11 P 0.409 0.250 0.987
12 P 0.454 0.250 0.289
13 P 0.546 0.750 0.711
14 P 0.591 0.750 0.013
15 P 0.623 0.250 0.525
16 P 0.721 0.750 0.255
17 O 0.113 0.095 0.746
18 O 0.113 0.405 0.746
19 O 0.216 0.097 0.993
20 O 0.216 0.403 0.993
21 O 0.217 0.596 0.478
22 O 0.217 0.904 0.478
23 O 0.223 0.750 0.694
24 O 0.315 0.096 0.240
25 O 0.315 0.404 0.240
26 O 0.324 0.750 0.932
27 O 0.356 0.250 0.425
28 O 0.456 0.250 0.640
29 O 0.492 0.750 0.143
30 O 0.508 0.250 0.857
31 O 0.544 0.750 0.360
32 O 0.644 0.750 0.575
33 O 0.676 0.250 0.068
34 O 0.685 0.596 0.760
35 O 0.685 0.904 0.760
36 O 0.777 0.250 0.306
37 O 0.783 0.096 0.522
38 O 0.783 0.404 0.522
39 O 0.784 0.597 0.007
40 O 0.784 0.903 0.007
41 O 0.887 0.595 0.254
42 O 0.887 0.905 0.254

Results
SG: P2_1/m (11)
Raw total energy, eV/cell: -287.17
Magnetic moment, μB per formula unit: 2.00

=====

Record 8
DFT (GGA-PBEsol) results for Ca2InRh after structural relaxation.

a b c (Å): 3.483 3.483 7.599
angles (deg): 90.00 90.00 90.00
Atoms (fractional coordinates):
1 Ca 0.000 0.000 0.212
2 Ca 0.000 0.000 0.788
3 In 0.500 0.500 0.500
4 Rh 0.500 0.500 0.000

Results
SG: P4/mmm (123)
Raw total energy, eV/cell: -16.79
Energy of formation from the pure elements, kJ per mole of atoms: -33.8
Magnetic moment, μB per formula unit: 0.00

=====

Record 9
DFT (GGA-PBEsol) results for Ba2LiIO6 after structural relaxation.

a b c (Å): 5.777 5.777 5.777
angles (deg): 60.00 60.00 60.00
Atoms (fractional coordinates):
1 Ba 0.250 0.250 0.250
2 Ba 0.750 0.750 0.750
3 Li 0.000 0.000 0.000
4 I 0.500 0.500 0.500
5 O 0.268 0.268 0.732
6 O 0.268 0.732 0.268
7 O 0.268 0.732 0.732
8 O 0.732 0.268 0.268
9 O 0.732 0.268 0.732
10 O 0.732 0.732 0.268

Results
SG: Fm-3m (225)
Raw total energy, eV/cell: -58.40
Magnetic moment, μB per formula unit: 0.00

=====

Record 10
DFT (GGA-PBEsol) results for LaBeRh after structural relaxation.

a b c (Å): 3.943 3.943 4.206
angles (deg): 90.00 90.00 120.00
Atoms (fractional coordinates):
1 La 0.000 0.000 0.000
2 Be 0.667 0.333 0.500
3 Rh 0.333 0.667 0.500

Results
SG: P-6m2 (187)
Raw total energy, eV/cell: -18.85
Energy of formation from the pure elements, kJ per mole of atoms: -43.7
Magnetic moment, μB per formula unit: 0.00